a:
PBE AgSb2PbI, optimized geometry; magnetization = 0.00 Bohr magnetons per cell
1.0
5.371 0.000 0.000
0.000 5.371 0.000
0.000 0.000 5.797
Ag Sb Pb I
1 2 1 1
direct
0.000 0.000 0.000 Ag
0.000 0.500 0.000 Sb
0.500 0.000 0.000 Sb
0.500 0.500 0.500 Pb
0.000 0.000 0.500 I

=====

b:
PBE AgSb2PbI, optimized geometry; magnetization = 1.71 Bohr magnetons per cell
1.0
5.924 0.000 0.000
0.000 5.924 0.000
0.000 0.000 6.157
Ag Sb Pb I
1 2 1 1
direct
0.000 0.000 0.000 Ag
0.000 0.500 0.500 Sb
0.500 0.000 0.500 Sb
0.500 0.500 0.500 Pb
0.500 0.500 0.000 I

=====

Result of the stability comparison: a is the most stable of them.

=====

a:
PBE AgPd2I8, optimized geometry; magnetization = 0.00 Bohr magnetons per cell
1.0
6.177 -4.693 0.000
6.177 4.693 0.000
-1.996 0.000 7.571
Ag Pd I
1 2 8
direct
0.000 0.000 0.000 Ag
0.196 0.196 0.644 Pd
0.804 0.804 0.356 Pd
0.098 0.718 0.209 I
0.256 0.256 0.349 I
0.282 0.902 0.791 I
0.412 0.412 0.819 I
0.588 0.588 0.181 I
0.718 0.098 0.209 I
0.744 0.744 0.651 I
0.902 0.282 0.791 I

=====

b:
PBE AgPd2I8, optimized geometry; magnetization = 0.00 Bohr magnetons per cell
1.0
6.250 -4.568 0.000
6.250 4.568 0.000
-6.243 0.000 9.268
Ag Pd I
1 2 8
direct
0.000 0.000 0.000 Ag
0.313 0.313 0.415 Pd
0.687 0.687 0.585 Pd
0.062 0.648 0.800 I
0.182 0.182 0.535 I
0.352 0.938 0.200 I
0.469 0.469 0.327 I
0.531 0.531 0.673 I
0.648 0.062 0.800 I
0.818 0.818 0.465 I
0.938 0.352 0.200 I

=====

Result of the stability comparison: b is the most stable of them.